Record 1
This record from Alexandria via LeMat-Bulk describes an optimized crystal structure of UCu2BiS6. The functional is PBE.

Computed properties:
DFT total energy ... -0.1951 hartree per atom
D(E_F) ... 6.5 states/eV per cell

Lattice parameters (Å, degrees): 6.498 6.537 6.971 62.98 65.49 61.43
Fractional positions:
U 0.000 0.000 0.000
Cu 0.204 0.162 0.443
Cu 0.751 0.786 0.712
Bi 0.525 0.511 0.460
S 0.083 0.811 0.703
S 0.230 0.573 0.232
S 0.391 0.089 0.712
S 0.594 0.945 0.215
S 0.766 0.416 0.764
S 0.956 0.242 0.232

***

Record 2
This record from Alexandria via LeMat-Bulk describes an optimized crystal structure of MoOsRu4. The functional is PBE.

Computed properties:
D(E_F) ... 5.9 states/eV per cell
Excess energy over the best structure of this formula in the dataset ... 596.6 meV/atom
Formation energy from the elements ... 0.575 eV/atom

Lattice parameters (Å, degrees): 4.155 4.155 5.886 90.00 90.00 90.00
Fractional positions:
Mo 0.000 0.000 0.000
Os 0.500 0.500 0.500
Ru 0.000 0.500 0.252
Ru 0.000 0.500 0.748
Ru 0.500 0.000 0.252
Ru 0.500 0.000 0.748